Compound: RbCoF2
Source: Alexandria via LeMat-Bulk
Functional: SCAN
Structure: PBEsol geometry

The structure in extended XYZ format:
```
8
Lattice="-2.4565 2.4565 6.0217 2.4565 -2.4565 6.0217 2.4565 2.4565 -6.0217" Properties=species:S:1:pos:R:3 pbc="T T T"
Rb 0.0000 0.0000 0.0000
Rb 0.0000 2.4565 3.0108
Co 2.4565 0.0000 3.0108
Co 0.0000 0.0000 6.0217
F 1.2282 -0.5172 4.5163
F 1.9393 1.2282 1.5054
F 1.2282 2.9737 -1.5054
F 0.5172 1.2282 7.5271
```

Output
ΔE_f (raw), eV/atom: -1.68
Calculated total energy, eV/atom: -12.96
DOS at the Fermi energy, states/eV/f.u.: 1.882